Computed, not measured: an optimized crystal structure of Te4WCl6 at the GGA-PBEsol level of DFT.

Geometry as CIF:
```
data_Te4WCl6
_chemical_formula_sum 'Te32 W8 Cl48'
_symmetry_space_group_name_H-M 'C 1 2/c 1'
_symmetry_Int_Tables_number 15
_cell_length_a 11.770
_cell_length_b 20.803
_cell_length_c 11.746
_cell_angle_alpha 90.00
_cell_angle_beta 117.17
_cell_angle_gamma 90.00
loop_
_symmetry_equiv_pos_as_xyz
'x,y,z'
'-x,-y,-z'
'-x,y,-z+1/2'
'x,-y,z+1/2'
'x+1/2,y+1/2,z'
'-x+1/2,-y+1/2,-z'
'-x+1/2,y+1/2,-z+1/2'
'x+1/2,-y+1/2,z+1/2'
loop_
_atom_site_label
_atom_site_type_symbol
_atom_site_fract_x
_atom_site_fract_y
_atom_site_fract_z
Te1 Te 0.030 0.086 0.141
Te2 Te 0.066 0.214 0.425
Te3 Te 0.208 0.351 0.490
Te4 Te 0.213 0.384 0.724
W1 W 0.217 0.386 0.106
Cl1 Cl 0.054 0.442 0.121
Cl2 Cl 0.064 0.340 0.915
Cl3 Cl 0.129 0.174 0.910
Cl4 Cl 0.136 0.069 0.703
Cl5 Cl 0.185 0.301 0.220
Cl6 Cl 0.248 0.468 0.990
```

Calculated values
Formation energy without anion corrections, eV/f.u.: -5.51

Computed, not measured: an optimized crystal structure of Te2WCl at the GGA-PBEsol level of DFT.

Geometry as CIF:
```
data_Te2WCl
_chemical_formula_sum 'Te2 W1 Cl1'
_symmetry_space_group_name_H-M 'P 4/m m m'
_symmetry_Int_Tables_number 123
_symmetry_space_group_name_Hall '-P 4 2'
_cell_length_a 4.242
_cell_length_b 4.242
_cell_length_c 4.816
_cell_angle_alpha 90.00
_cell_angle_beta 90.00
_cell_angle_gamma 90.00
loop_
_atom_site_label
_atom_site_type_symbol
_atom_site_fract_x
_atom_site_fract_y
_atom_site_fract_z
Te1 Te 0.000 0.500 0.000
W1 W 0.000 0.000 0.500
Cl1 Cl 0.500 0.500 0.500
```

Calculated values
Formation energy without anion corrections, eV/f.u.: 4.17
Excess energy over the best structure of this formula in the dataset, eV/atom: 1.099

Computed, not measured: an optimized crystal structure of TeWCl3 at the GGA-PBEsol level of DFT.

Geometry as CIF:
```
data_TeWCl3
_chemical_formula_sum 'Te1 W1 Cl3'
_symmetry_space_group_name_H-M 'P m -3 m'
_symmetry_Int_Tables_number 221
_symmetry_space_group_name_Hall '-P 4 2 3'
_cell_length_a 4.749
_cell_length_b 4.749
_cell_length_c 4.749
_cell_angle_alpha 90.00
_cell_angle_beta 90.00
_cell_angle_gamma 90.00
loop_
_atom_site_label
_atom_site_type_symbol
_atom_site_fract_x
_atom_site_fract_y
_atom_site_fract_z
Te1 Te 0.000 0.000 0.000
W1 W 0.500 0.500 0.500
Cl1 Cl 0.000 0.500 0.500
```

Calculated values
Formation energy without anion corrections, eV/f.u.: 1.39

Computed, not measured: an optimized crystal structure of Te2WCl at the GGA-PBEsol level of DFT.

Geometry as CIF:
```
data_Te2WCl
_chemical_formula_sum 'Te2 W1 Cl1'
_symmetry_space_group_name_H-M 'P 4/m m m'
_symmetry_Int_Tables_number 123
_symmetry_space_group_name_Hall '-P 4 2'
_cell_length_a 3.267
_cell_length_b 3.267
_cell_length_c 8.015
_cell_angle_alpha 90.00
_cell_angle_beta 90.00
_cell_angle_gamma 90.00
loop_
_atom_site_label
_atom_site_type_symbol
_atom_site_fract_x
_atom_site_fract_y
_atom_site_fract_z
Te1 Te 0.000 0.000 0.209
W1 W 0.500 0.500 0.000
Cl1 Cl 0.500 0.500 0.500
```

Calculated values
Formation energy without anion corrections, eV/f.u.: 0.25
Excess energy over the best structure of this formula in the dataset, eV/atom: 0.120

Computed, not measured: an optimized crystal structure of Te2WCl at the GGA-PBEsol level of DFT.

Geometry as CIF:
```
data_Te2WCl
_chemical_formula_sum 'Te6 W3 Cl3'
_symmetry_space_group_name_H-M 'R -3 m'
_symmetry_Int_Tables_number 166
_symmetry_space_group_name_Hall '-R 3 2"'
_cell_length_a 3.5177
_cell_length_b 3.5177
_cell_length_c 25.1489
_cell_angle_alpha 90.00
_cell_angle_beta 90.00
_cell_angle_gamma 120.00
loop_
_atom_site_label
_atom_site_type_symbol
_atom_site_fract_x
_atom_site_fract_y
_atom_site_fract_z
Te1 Te 0.0000 0.0000 0.2396
W1 W 0.0000 0.0000 0.5000
Cl1 Cl 0.0000 0.0000 0.0000
```

Calculated values
Formation energy without anion corrections, eV/f.u.: -0.23
Excess energy over the best structure of this formula in the dataset, eV/atom: 0.000

Computed, not measured: an optimized crystal structure of YTe2Cl at the GGA-PBEsol level of DFT.

Geometry as CIF:
```
data_YTe2Cl
_chemical_formula_sum 'Y4 Te8 Cl4'
_symmetry_space_group_name_H-M 'I -4 2 d'
_symmetry_Int_Tables_number 122
_symmetry_space_group_name_Hall 'I -4 2bw'
_cell_length_a 4.301
_cell_length_b 4.301
_cell_length_c 23.193
_cell_angle_alpha 90.00
_cell_angle_beta 90.00
_cell_angle_gamma 90.00
loop_
_atom_site_label
_atom_site_type_symbol
_atom_site_fract_x
_atom_site_fract_y
_atom_site_fract_z
Y1 Y 0.000 0.000 0.000
Te1 Te 0.244 0.250 0.125
Cl1 Cl 0.000 0.000 0.500
```

Calculated values
Formation energy without anion corrections, eV/f.u.: -3.25
Excess energy over the best structure of this formula in the dataset, eV/atom: 0.043

Computed, not measured: an optimized crystal structure of Y2Te2Cl at the GGA-PBEsol level of DFT.

Geometry as CIF:
```
data_Y2Te2Cl
_chemical_formula_sum 'Y4 Te4 Cl2'
_symmetry_space_group_name_H-M 'P 4/m b m'
_symmetry_Int_Tables_number 127
_symmetry_space_group_name_Hall '-P 4 2ab'
_cell_length_a 8.037
_cell_length_b 8.037
_cell_length_c 4.033
_cell_angle_alpha 90.00
_cell_angle_beta 90.00
_cell_angle_gamma 90.00
loop_
_atom_site_label
_atom_site_type_symbol
_atom_site_fract_x
_atom_site_fract_y
_atom_site_fract_z
Y1 Y 0.153 0.347 0.000
Te1 Te 0.146 0.646 0.500
Cl1 Cl 0.000 0.000 0.000
```

Calculated values
Formation energy without anion corrections, eV/f.u.: -7.91

Computed, not measured: an optimized crystal structure of Y2TeCl at the GGA-PBEsol level of DFT.

Geometry as CIF:
```
data_Y2TeCl
_chemical_formula_sum 'Y2 Te1 Cl1'
_symmetry_space_group_name_H-M 'P 4 m m'
_symmetry_Int_Tables_number 99
_cell_length_a 3.941
_cell_length_b 3.941
_cell_length_c 6.441
_cell_angle_alpha 90.00
_cell_angle_beta 90.00
_cell_angle_gamma 90.00
loop_
_symmetry_equiv_pos_as_xyz
'x,y,z'
'-y,x,z'
'-x,-y,z'
'y,-x,z'
'-x,y,z'
'y,x,z'
'x,-y,z'
'-y,-x,z'
loop_
_atom_site_label
_atom_site_type_symbol
_atom_site_fract_x
_atom_site_fract_y
_atom_site_fract_z
Y1 Y 0.000 0.000 0.000
Y2 Y 0.500 0.500 0.332
Te1 Te 0.500 0.500 0.827
Cl1 Cl 0.000 0.000 0.430
```

Calculated values
Formation energy without anion corrections, eV/f.u.: -5.41
Excess energy over the best structure of this formula in the dataset, eV/atom: 0.000

Computed, not measured: an optimized crystal structure of YTe2Cl at the GGA-PBEsol level of DFT.

Geometry as CIF:
```
data_YTe2Cl
_chemical_formula_sum 'Y3 Te6 Cl3'
_symmetry_space_group_name_H-M 'R -3 m'
_symmetry_Int_Tables_number 166
_symmetry_space_group_name_Hall '-R 3 2"'
_cell_length_a 4.4658
_cell_length_b 4.4658
_cell_length_c 25.3625
_cell_angle_alpha 90.00
_cell_angle_beta 90.00
_cell_angle_gamma 120.00
loop_
_atom_site_label
_atom_site_type_symbol
_atom_site_fract_x
_atom_site_fract_y
_atom_site_fract_z
Y1 Y 0.0000 0.0000 0.0000
Te1 Te 0.0000 0.0000 0.3966
Cl1 Cl 0.0000 0.0000 0.5000
```

Calculated values
Formation energy without anion corrections, eV/f.u.: -3.42
Excess energy over the best structure of this formula in the dataset, eV/atom: 0.000

Computed, not measured: an optimized crystal structure of Y2TeCl at the GGA-PBEsol level of DFT.

Geometry as CIF:
```
data_Y2TeCl
_chemical_formula_sum 'Y8 Te4 Cl4'
_symmetry_space_group_name_H-M 'F -4 3 m'
_symmetry_Int_Tables_number 216
_symmetry_space_group_name_Hall 'F -4 2 3'
_cell_length_a 7.432
_cell_length_b 7.432
_cell_length_c 7.432
_cell_angle_alpha 90.00
_cell_angle_beta 90.00
_cell_angle_gamma 90.00
loop_
_atom_site_label
_atom_site_type_symbol
_atom_site_fract_x
_atom_site_fract_y
_atom_site_fract_z
Y1 Y 0.000 0.000 0.000
Y2 Y 0.250 0.250 0.250
Te1 Te 0.000 0.000 0.500
Cl1 Cl 0.250 0.250 0.750
```

Calculated values
Formation energy without anion corrections, eV/f.u.: -1.61
Excess energy over the best structure of this formula in the dataset, eV/atom: 0.952

Computed, not measured: an optimized crystal structure of Y2TeCl at the GGA-PBEsol level of DFT.

Geometry as CIF:
```
data_Y2TeCl
_chemical_formula_sum 'Y2 Te1 Cl1'
_symmetry_space_group_name_H-M 'P 1 2/m 1'
_symmetry_Int_Tables_number 10
_cell_length_a 4.563
_cell_length_b 3.841
_cell_length_c 5.954
_cell_angle_alpha 90.00
_cell_angle_beta 104.69
_cell_angle_gamma 90.00
loop_
_symmetry_equiv_pos_as_xyz
'x,y,z'
'-x,-y,-z'
'-x,y,-z'
'x,-y,z'
loop_
_atom_site_label
_atom_site_type_symbol
_atom_site_fract_x
_atom_site_fract_y
_atom_site_fract_z
Y1 Y 0.000 0.000 0.000
Y2 Y 0.500 0.500 0.500
Te1 Te 0.000 0.000 0.500
Cl1 Cl 0.500 0.500 0.000
```

Calculated values
Formation energy without anion corrections, eV/f.u.: -4.84
Excess energy over the best structure of this formula in the dataset, eV/atom: 0.143

Computed, not measured: an optimized crystal structure of ZnTe2Cl at the GGA-PBEsol level of DFT.

Geometry as CIF:
```
data_ZnTe2Cl
_chemical_formula_sum 'Zn2 Te4 Cl2'
_symmetry_space_group_name_H-M 'I m m m'
_symmetry_Int_Tables_number 71
_symmetry_space_group_name_Hall '-I 2 2'
_cell_length_a 3.636
_cell_length_b 4.772
_cell_length_c 10.780
_cell_angle_alpha 90.00
_cell_angle_beta 90.00
_cell_angle_gamma 90.00
loop_
_atom_site_label
_atom_site_type_symbol
_atom_site_fract_x
_atom_site_fract_y
_atom_site_fract_z
Zn1 Zn 0.000 0.000 0.000
Te1 Te 0.000 0.500 0.299
Cl1 Cl 0.000 0.000 0.500
```

Calculated values
Formation energy without anion corrections, eV/f.u.: -0.44
Excess energy over the best structure of this formula in the dataset, eV/atom: 0.000